{
  "formula": "FeCo2Ru",
  "functional": "PBE",
  "state": "optimized geometry",
  "formation_enthalpy_0k_ev_per_atom": 0.390,
  "e_above_lowest_polymorph_ev_per_atom": 0.279,
  "crystal_system": "cubic",
  "cell": [[-2.334, -3.231, 0.710], [-3.678, -0.248, -1.674], [-0.704, -2.678, -2.954]],
  "species": ["Co", "Co", "Fe", "Ru"],
  "fractional_positions": [[0.250, 0.250, 0.250], [0.750, 0.750, 0.750], [0.000, 0.000, 0.000], [0.500, 0.500, 0.500]]
}